Compound: NaHF2
Source: Alexandria
Functional: PBEsol
Structure: relaxed

Summary:
D(E_F)	0.0000	states/eV per atom
ΔE to the lowest computed polymorph	0.26	eV/f.u.
DFT total energy	-17.4	eV for the cell shown

```
NaHF2
1.0
3.166 -0.024 -0.028
-0.422 3.757 -0.019
-0.422 -0.521 3.721
Na F H
1 2 1
Cartesian
1.161 0.593 2.723
2.677 0.309 1.047
-0.356 2.216 3.228
-0.422 3.336 0.350
```